DFT (PBE-GGA) results for an optimized crystal structure of AlCOF2.

```
5
Lattice="4.7851 0.0000 0.0000 0.0000 4.7851 0.0000 0.0000 0.0000 3.2119" Properties=species:S:1:pos:R:3 pbc="T T T"
Al 0.0000 0.0000 0.0000
C 2.3926 2.3926 0.0000
O 0.0000 0.0000 1.6060
F 0.0000 2.3926 1.6060
F 2.3926 0.0000 1.6060
```

Output
D(E_F) (states/eV/f.u.): 5.21
Energy relative to the elements, uncorrected (meV/atom): 330
Offset from the most stable computed form (meV per atom): 1189.1